Below is crystalline BaU2Se5 at its relaxed geometry, with properties calculated at the PBE level.

extended XYZ file:
```
32
Lattice="8.839 0.000 0.000 0.000 7.883 0.000 -0.075 0.000 12.317" Properties=species:S:1:pos:R:3 pbc="T T T"
Ba 0.048 0.433 4.079
Ba 0.011 3.508 10.237
Ba 8.753 4.375 2.080
Ba 8.716 7.450 8.238
U 2.234 4.498 6.063
U 2.196 7.326 12.221
U 4.400 4.128 2.239
U 4.362 7.696 8.397
U 4.401 0.187 3.920
U 4.364 3.755 10.078
U 6.567 0.557 0.096
U 6.530 3.385 6.254
Se 0.334 1.400 0.881
Se 0.297 2.542 7.039
Se 2.373 5.427 8.813
Se 2.410 6.397 2.654
Se 2.447 1.265 10.004
Se 2.485 2.676 3.846
Se 2.506 4.324 12.294
Se 2.544 7.500 6.136
Se 4.008 1.300 1.198
Se 3.971 2.641 7.357
Se 4.793 5.242 4.960
Se 4.755 6.583 11.119
Se 6.220 0.383 6.181
Se 6.258 3.559 0.022
Se 6.279 5.207 8.471
Se 6.317 6.618 2.313
Se 6.354 1.486 9.662
Se 6.391 2.456 3.504
Se 8.467 5.341 5.278
Se 8.429 6.483 11.436
```

crystal system = monoclinic
spin magnetization = 16.0 μB/cell
total DFT energy (no corrections) = -6.638 eV per atom